! ZnCrAs PBEsol relaxed; values from VASP
! VASP energy = -5.554 eV/atom
! Space-group type = I4mm, No. 107
! Crystal system = tetragonal
! E_form = 0.090 eV/atom
! N(E_F) = 2.3 states/eV/cell
&SYSTEM
  ibrav = 0, nat = 3, ntyp = 3
/
ATOMIC_SPECIES
Zn 65.41 Zn.upf
Cr 52.00 Cr.upf
As 74.92 As.upf
ATOMIC_POSITIONS crystal
Zn 0.000 0.000 0.000
Cr 0.321 0.321 0.000
As 0.689 0.689 0.000
CELL_PARAMETERS angstrom
-1.552 1.552 4.246
1.552 -1.552 4.246
1.552 1.552 -4.246